Below is a relaxed TiNi2RhO6 crystal, with properties calculated at the PBE with a Hubbard U level. Values from VASP.

Cell and atoms, written as Quantum ESPRESSO input:
```
&SYSTEM
  ibrav = 0, nat = 10, ntyp = 4
/
ATOMIC_SPECIES
Ti 47.87 Ti.upf
Ni 58.69 Ni.upf
Rh 102.91 Rh.upf
O 16.00 O.upf
ATOMIC_POSITIONS angstrom
Ti -0.121 2.234 1.179
Ni -2.201 3.785 -0.213
Ni -2.114 1.922 3.325
Rh -4.126 2.224 1.273
O -2.109 2.464 1.350
O -4.089 1.413 3.137
O -4.033 0.519 0.373
O -0.039 0.725 0.383
O -6.158 2.251 1.338
O -4.178 3.302 -0.450
CELL_PARAMETERS angstrom
-0.188 3.461 1.827
-4.081 1.652 -3.550
-3.906 -2.074 3.526
```

Calculated values
Energy, eV/atom: -6.18
M_tot, μB/f.u.: 5.04
Density, g/cm3: 4.82